Rb2AlGe | SCAN | PBEsol geometry

## Properties
The value obtained for the volume is 32.02 Å³ per atom. The formation energy comes out at 651.0 meV/atom. As for the total energy: -0.60374 hartree per atom.

Cell lengths 4.569, 4.569, 24.544 Å; angles 90.00, 90.00, 90.00 degrees
Sites, in units of the cell vectors:
Rb 0.250 0.250 0.125
Rb 0.250 0.250 0.625
Rb 0.250 0.750 0.375
Rb 0.250 0.750 0.875
Rb 0.750 0.250 0.375
Rb 0.750 0.250 0.875
Rb 0.750 0.750 0.125
Rb 0.750 0.750 0.625
Al 0.000 0.000 0.000
Al 0.000 0.500 0.250
Al 0.500 0.000 0.750
Al 0.500 0.500 0.500
Ge 0.000 0.000 0.500
Ge 0.000 0.500 0.750
Ge 0.500 0.000 0.250
Ge 0.500 0.500 0.000


Rb3AlGe | SCAN | PBEsol geometry

## Properties
The value obtained for the volume is 59.32 Å³ per atom. The formation energy comes out at 570.2 meV/atom. As for the total energy: -0.63360 hartree per atom.

Cell lengths 6.669, 6.669, 6.669 Å; angles 90.00, 90.00, 90.00 degrees
Sites, in units of the cell vectors:
Rb 0.000 0.000 0.500
Rb 0.000 0.500 0.000
Rb 0.500 0.000 0.000
Al 0.500 0.500 0.500
Ge 0.000 0.000 0.000


AlRe3Ge | SCAN | PBEsol geometry

## Properties
The value obtained for the volume is 17.23 Å³ per atom. The formation energy comes out at 1967.6 meV/atom. As for the total energy: -1.69263 hartree per atom.

Cell lengths 4.417, 4.417, 4.417 Å; angles 90.00, 90.00, 90.00 degrees
Sites, in units of the cell vectors:
Al 0.000 0.000 0.000
Re 0.000 0.000 0.500
Re 0.000 0.500 0.000
Re 0.500 0.000 0.000
Ge 0.500 0.500 0.500